# 1
Density functional theory data (PBE-GGA) for a geometry-optimized ZnCr2Hg structure.

Summary:
Total magnetic moment: 0.2 μB per cell
ΔH_f (0 K): 333 meV/atom
DOS at the Fermi energy: 1.74 states/eV/f.u.
Volume: 65 Å³ per cell

```
4
Lattice="-1.994 1.994 4.063 1.994 -1.994 4.063 1.994 1.994 -4.063" Properties=species:S:1:pos:R:3 pbc="T T T"
Zn 0.000 0.000 0.000
Cr 1.994 0.000 2.031
Cr 0.000 0.000 4.063
Hg 0.000 1.994 2.031
```

=====

# 2
Density functional theory data (PBE-GGA) for a geometry-optimized K4Ce3HoO8 structure.

Summary:
Total magnetic moment: 3.0 μB per cell
E_form (uncorrected): -2626 meV/atom
DOS at the Fermi energy: 9.13 states/eV/f.u.
Volume: 282 Å³ per cell

```
16
Lattice="3.602 2.079 6.283 -3.602 2.079 6.283 0.000 -4.159 6.283" Properties=species:S:1:pos:R:3 pbc="T T T"
K 0.000 0.000 0.000
K -1.801 -1.040 6.283
K -1.801 1.040 12.566
K 0.000 2.079 6.283
Ce -3.602 0.000 9.425
Ce -1.801 1.040 3.142
Ce 1.801 1.040 3.142
Ho 0.000 0.000 9.425
O 0.000 0.000 4.348
O -1.750 -1.010 10.601
O 0.000 -2.020 8.248
O -1.750 1.010 8.248
O 1.750 -1.010 10.601
O 0.000 2.020 10.601
O 1.750 1.010 8.248
O 0.000 0.000 14.501
```

=====

# 3
Density functional theory data (PBE-GGA) for a geometry-optimized TlZn2Br structure.

Summary:
Total magnetic moment: 0.0 μB per cell
E_form (uncorrected): -110 meV/atom
DOS at the Fermi energy: 1.14 states/eV/f.u.
Volume: 115 Å³ per cell

```
4
Lattice="4.312 -1.848 0.000 4.312 1.848 0.000 -3.259 0.000 7.190" Properties=species:S:1:pos:R:3 pbc="T T T"
Tl 0.000 0.000 0.000
Zn 3.441 0.000 2.624
Zn 5.944 0.000 2.236
Br 2.913 0.000 5.137
```

=====

Which value of volume does entry 1 give? 65 Å³ per cell

=====

Which of these has the lowest total magnetic moment? TlZn2Br

=====

Copy entry 3 word for word.
Density functional theory data (PBE-GGA) for a geometry-optimized TlZn2Br structure.

Summary:
Total magnetic moment: 0.0 μB per cell
E_form (uncorrected): -110 meV/atom
DOS at the Fermi energy: 1.14 states/eV/f.u.
Volume: 115 Å³ per cell

```
4
Lattice="4.312 -1.848 0.000 4.312 1.848 0.000 -3.259 0.000 7.190" Properties=species:S:1:pos:R:3 pbc="T T T"
Tl 0.000 0.000 0.000
Zn 3.441 0.000 2.624
Zn 5.944 0.000 2.236
Br 2.913 0.000 5.137
```